The following is a DFT calculation (PBE) of a geometry-optimized MgSc2SiN structure.

- Density: 3.28 g cm⁻³
- Energy relative to the elements, uncorrected: -946 meV per atom
- Total magnetization: 0.00 μB/f.u.
- Energy relative to the lowest polymorph listed for this composition: 0 meV/atom

Lattice parameters (Å, degrees): 4.3602 4.3602 4.1605 90.00 90.00 90.00
With the nearest neighbours (Å) after each atom.
Atoms (fractional coordinates):
Mg: 0.0000 0.0000 0.0000  2 N 2.08
Sc: 0.0000 0.5000 0.5000  2 N 2.18
Sc: 0.5000 0.0000 0.5000  2 N 2.18
Si: 0.5000 0.5000 0.0000  8 Sc 3.01, 4 Mg 3.08
N: 0.0000 0.0000 0.5000  2 Mg 2.08, 4 Sc 2.18

=====

The following is a DFT calculation (PBE) of a geometry-optimized Na3HoBi2Te6 structure.

- Density: 5.92 g cm⁻³
- Energy relative to the elements, uncorrected: -795 meV per atom
- Total magnetization: 0.00 μB/f.u.

Lattice parameters (Å, degrees): 7.7755 7.7755 8.0258 99.29 99.29 120.04
With the nearest neighbours (Å) after each atom.
Atoms (fractional coordinates):
Na: 0.0000 0.0000 0.0000  6 Te 3.27-3.31
Na: 0.3261 0.6739 0.0000  6 Te 3.26-3.33
Na: 0.6739 0.3261 0.0000  6 Te 3.26-3.33
Ho: 0.5000 0.5000 0.5000  6 Te 3.10-3.11
Bi: 0.1656 0.8344 0.5000  6 Te 3.16-3.17
Bi: 0.8344 0.1656 0.5000  6 Te 3.16-3.17
Te: 0.0948 0.4226 0.2669  1 Ho 3.10, 2 Bi 3.16-3.17, 3 Na 3.26-3.27
Te: 0.2512 0.2512 0.7359  1 Ho 3.11, 2 Bi 3.16, 3 Na 3.31-3.33
Te: 0.4226 0.0948 0.2669  1 Ho 3.10, 2 Bi 3.16-3.17, 3 Na 3.26-3.27
Te: 0.5774 0.9052 0.7331  1 Ho 3.10, 2 Bi 3.16-3.17, 3 Na 3.26-3.27
Te: 0.7488 0.7488 0.2641  1 Ho 3.11, 2 Bi 3.16, 3 Na 3.31-3.33
Te: 0.9052 0.5774 0.7331  1 Ho 3.10, 2 Bi 3.16-3.17, 3 Na 3.26-3.27

=====

The following is a DFT calculation (PBE) of a geometry-optimized MgAg2Os structure.

- Density: 10.69 g cm⁻³
- Total magnetization: 0.00 μB/f.u.
- DFT formation energy: 0.3466 eV/atom

Lattice parameters (Å, degrees): 5.5803 5.5803 2.7110 101.63 101.63 120.09
With the nearest neighbours (Å) after each atom.
Atoms (fractional coordinates):
Mg: 0.0000 0.0000 0.0000  2 Mg 2.71, 4 Os 2.79-3.00, 4 Ag 2.85
Ag: 0.0000 0.5000 0.5000  6 Ag 2.71-3.00, 2 Os 2.85, 2 Mg 2.85
Ag: 0.5000 0.0000 0.5000  6 Ag 2.71-3.00, 2 Mg 2.85, 2 Os 2.85
Os: 0.5000 0.5000 0.0000  2 Os 2.71, 4 Mg 2.79-3.00, 4 Ag 2.85

=====

Number 1: DOS at the Fermi energy 1.55 states/eV/cell. Number 2: DOS at the Fermi energy 0.00 states/eV/cell. Number 3: DOS at the Fermi energy 1.56 states/eV/cell.